1.
A plane-wave DFT calculation with PBE-GGA was carried out for a geometry-optimized Ac2LaTh structure.

a = 3.717 Å, b = 3.717 Å, c = 40.105 Å
α = 90.00°, β = 90.00°, γ = 120.00°
Atoms (fractional coordinates):
Ac 0.000 0.000 0.088
Ac 0.000 0.000 0.912
Ac 0.333 0.667 0.579
Ac 0.333 0.667 0.755
Ac 0.667 0.333 0.245
Ac 0.667 0.333 0.421
La 0.000 0.000 0.500
La 0.333 0.667 0.167
La 0.667 0.333 0.833
Th 0.000 0.000 0.000
Th 0.333 0.667 0.667
Th 0.667 0.333 0.333

Values from the calculation:
Crystal system: trigonal
SG: R-3m
Formation enthalpy at 0 K in meV/atom: 282
Size of the total moment in μB per formula unit: 0.00
Offset from the most stable computed form in meV/atom: 194.3
Fermi-level density of states in states/eV per atom: 1.80

---

2.
A plane-wave DFT calculation with PBE-GGA was carried out for a geometry-optimized Ac4La5Th structure.

a = 3.802 Å, b = 3.802 Å, c = 27.276 Å
α = 90.00°, β = 90.00°, γ = 90.00°
Atoms (fractional coordinates):
Ac 0.000 0.000 0.101
Ac 0.000 0.000 0.304
Ac 0.000 0.000 0.696
Ac 0.000 0.000 0.899
La 0.500 0.500 0.000
La 0.500 0.500 0.202
La 0.500 0.500 0.412
La 0.500 0.500 0.588
La 0.500 0.500 0.798
Th 0.000 0.000 0.500

Values from the calculation:
Crystal system: tetragonal
SG: P4/mmm
Formation enthalpy at 0 K in meV/atom: 35
Size of the total moment in μB per formula unit: 0.00
Fermi-level density of states in states/eV per atom: 2.06

---

3.
A plane-wave DFT calculation with PBE-GGA was carried out for a geometry-optimized AcLa4Th2 structure.

a = 21.269 Å, b = 21.269 Å, c = 21.269 Å
α = 10.07°, β = 10.07°, γ = 10.07°
Atoms (fractional coordinates):
Ac 0.000 0.000 0.000
La 0.098 0.098 0.098
La 0.383 0.383 0.383
La 0.617 0.617 0.617
La 0.902 0.902 0.902
Th 0.189 0.189 0.189
Th 0.811 0.811 0.811

Values from the calculation:
Crystal system: trigonal
SG: R-3m
Formation enthalpy at 0 K in meV/atom: 52
Size of the total moment in μB per formula unit: 0.00
Fermi-level density of states in states/eV per atom: 1.77

---

4.
A plane-wave DFT calculation with PBE-GGA was carried out for a geometry-optimized AcLa14Th structure.

a = 10.519 Å, b = 7.450 Å, c = 7.450 Å
α = 90.06°, β = 90.00°, γ = 90.00°
Atoms (fractional coordinates):
Ac 0.000 0.000 0.000
La 0.000 0.500 0.999
La 0.000 0.999 0.500
La 0.247 0.258 0.258
La 0.247 0.258 0.741
La 0.247 0.741 0.258
La 0.248 0.741 0.741
La 0.500 0.000 0.498
La 0.500 0.498 0.000
La 0.500 0.500 0.500
La 0.500 0.999 0.999
La 0.752 0.741 0.741
La 0.753 0.258 0.258
La 0.753 0.258 0.741
La 0.753 0.741 0.258
Th 0.000 0.499 0.499

Values from the calculation:
Crystal system: orthorhombic
SG: Amm2
Formation enthalpy at 0 K in meV/atom: 15
Size of the total moment in μB per formula unit: 0.00
Fermi-level density of states in states/eV per atom: 1.80

---

5.
A plane-wave DFT calculation with PBE-GGA was carried out for a geometry-optimized Ac2La6Th structure.

a = 3.765 Å, b = 3.765 Å, c = 28.093 Å
α = 90.00°, β = 90.00°, γ = 120.00°
Atoms (fractional coordinates):
Ac 0.000 0.000 0.171
Ac 0.000 0.000 0.829
La 0.000 0.000 0.396
La 0.000 0.000 0.604
La 0.667 0.333 0.060
La 0.667 0.333 0.286
La 0.667 0.333 0.714
La 0.667 0.333 0.940
Th 0.667 0.333 0.500

Values from the calculation:
Crystal system: hexagonal
SG: P-6m2
Formation enthalpy at 0 K in meV/atom: 78
Size of the total moment in μB per formula unit: 0.00
Fermi-level density of states in states/eV per atom: 1.75

---

6.
A plane-wave DFT calculation with PBE-GGA was carried out for a geometry-optimized Ac2LaTh structure.

a = 5.381 Å, b = 5.381 Å, c = 5.362 Å
α = 90.00°, β = 90.00°, γ = 90.00°
Atoms (fractional coordinates):
Ac 0.000 0.500 0.000
Ac 0.500 0.000 0.000
La 0.000 0.000 0.500
Th 0.500 0.500 0.500

Values from the calculation:
Crystal system: tetragonal
SG: P4/mmm
Formation enthalpy at 0 K in meV/atom: 113
Size of the total moment in μB per formula unit: 0.00
Offset from the most stable computed form in meV/atom: 24.9
Fermi-level density of states in states/eV per atom: 1.72

---

7.
A plane-wave DFT calculation with PBE-GGA was carried out for a geometry-optimized AcLaTh2 structure.

a = 5.159 Å, b = 5.159 Å, c = 5.299 Å
α = 90.00°, β = 90.00°, γ = 90.00°
Atoms (fractional coordinates):
Ac 0.000 0.000 0.000
La 0.500 0.500 0.000
Th 0.000 0.500 0.500
Th 0.500 0.000 0.500

Values from the calculation:
Crystal system: tetragonal
SG: P4/mmm
Formation enthalpy at 0 K in meV/atom: 121
Size of the total moment in μB per formula unit: 0.00
Offset from the most stable computed form in meV/atom: 10.5
Fermi-level density of states in states/eV per atom: 1.52

---

8.
A plane-wave DFT calculation with PBE-GGA was carried out for a geometry-optimized Ac14LaTh structure.

a = 7.892 Å, b = 7.892 Å, c = 11.244 Å
α = 90.00°, β = 90.00°, γ = 90.00°
Atoms (fractional coordinates):
Ac 0.000 0.000 0.000
Ac 0.000 0.500 0.000
Ac 0.000 0.500 0.500
Ac 0.246 0.246 0.258
Ac 0.246 0.246 0.742
Ac 0.246 0.754 0.258
Ac 0.246 0.754 0.742
Ac 0.500 0.000 0.000
Ac 0.500 0.000 0.500
Ac 0.500 0.500 0.000
Ac 0.754 0.246 0.258
Ac 0.754 0.246 0.742
Ac 0.754 0.754 0.258
Ac 0.754 0.754 0.742
La 0.500 0.500 0.500
Th 0.000 0.000 0.500

Values from the calculation:
Crystal system: tetragonal
SG: P4/mmm
Formation enthalpy at 0 K in meV/atom: 47
Size of the total moment in μB per formula unit: 0.00
Fermi-level density of states in states/eV per atom: 2.07

---

> Number 4 is which compound?

AcLa14Th

---

> Which of these has the highest Fermi-level density of states?

Ac14LaTh